# 1
Here is an optimized crystal structure of CeSm5Y12 from the Alexandria database. Energies are from PBE.

It has space group Cmmm (No. 65), with a = 15.227 Å, b = 15.240 Å, c = 5.080 Å, α = 90.00°, β = 90.00° and γ = 90.00°. Symmetry generates all atoms from Ce at (0.000, 0.000, 0.000), Sm at (0.000, 0.165, 0.500), Sm at (0.000, 0.333, 0.000), Sm at (0.000, 0.500, 0.500), Y at (0.165, 0.000, 0.500), Y at (0.166, 0.166, 0.000), Y at (0.166, 0.334, 0.500) and Y at (0.167, 0.500, 0.000).

The total energy is -5.917 eV/atom. The calculation puts the energy of formation at 0.033 eV/atom. The value obtained for the density of states at the Fermi level is 59.54 states/eV per cell.

---

# 2
Here is an optimized crystal structure of SrHoTlCd from the Alexandria database. Energies are from PBE.

It has space group P4mm (No. 99), with a = 3.867 Å, b = 3.867 Å, c = 7.965 Å, α = 90.00°, β = 90.00° and γ = 90.00°. Symmetry generates all atoms from Sr at (0.000, 0.000, 0.000), Ho at (0.000, 0.000, 0.509), Tl at (0.500, 0.500, 0.279) and Cd at (0.500, 0.500, 0.722).

The total energy is -2.735 eV/atom. The calculation puts the energy of formation at -0.350 eV/atom. The value obtained for the density of states at the Fermi level is 2.74 states/eV per cell. As for the relative energy among the computed polymorphs: 0.000 eV per atom.

---

# 3
Here is an optimized crystal structure of TiSnPt from the Alexandria database. Energies are from PBE.

It has space group P-6m2 (No. 187), with a = 4.5577 Å, b = 4.5577 Å, c = 3.0050 Å, α = 90.00°, β = 90.00° and γ = 120.00°. Symmetry generates all atoms from Ti at (0.0000, 0.0000, 0.0000), Sn at (0.6667, 0.3333, 0.5000) and Pt at (0.3333, 0.6667, 0.5000).

The total energy is -6.517 eV/atom. The calculation puts the energy of formation at -0.538 eV/atom. The value obtained for the density of states at the Fermi level is 2.73 states/eV per cell.

---

# 4
Here is an optimized crystal structure of Mg4SbPb from the Alexandria database. Energies are from PBE.

It has space group F-43m (No. 216), with a = 8.394 Å, b = 8.394 Å, c = 8.394 Å, α = 90.00°, β = 90.00° and γ = 90.00°. Symmetry generates all atoms from Mg at (0.125, 0.125, 0.125), Sb at (0.000, 0.000, 0.500) and Pb at (0.250, 0.250, 0.750).

The calculation puts the uncorrected formation energy at 16 meV per atom. The total energy is -2.353 eV/atom. The value obtained for the density of states at the Fermi level is 7.11 states/eV per cell. As for the relative energy among the computed polymorphs: 0.142 eV per atom.

---

- Which value of density of states at the Fermi level does entry 1 give?
  59.54 states/eV per cell

---

- The lowest density of states at the Fermi level belongs to which entry?
  TiSnPt

---

- The lowest density of states at the Fermi level belongs to which entry?
  TiSnPt

---

- What is the formula in the second record?
  SrHoTlCd